Below is a relaxed structure of Cs3RuI8, with properties calculated at the PBE level.

## Properties
Total magnetization in μB/f.u.: 0.00
E_form (uncorrected) in eV/atom: -0.476
E above lowest polymorph in eV per atom: 0.1731

abc: 10.1916 10.1916 10.1916
angles: 130.33 130.33 72.88
Atoms (fractional coordinates):
Cs 0.0000 0.0000 0.0000
Cs 0.2500 0.7500 0.5000
Cs 0.7500 0.2500 0.5000
Ru 0.5000 0.5000 0.0000
I 0.1932 0.1932 0.5962
I 0.1932 0.5970 0.0000
I 0.4030 0.4030 0.5962
I 0.4030 0.8068 0.0000
I 0.5970 0.1932 0.0000
I 0.5970 0.5970 0.4038
I 0.8068 0.4030 0.0000
I 0.8068 0.8068 0.4038